No. 1
This record from Alexandria via LeMat-Bulk describes crystalline Mn3RePd at its relaxed geometry. The functional is PBE-GGA.

Cell and atoms, written as POSCAR:
```
Mn3RePd
1.0
4.5684 0.0000 0.0000
0.0000 4.5684 0.0000
0.0000 0.0000 4.5684
Mn Re Pd
3 1 1
direct
0.0000 0.0000 0.5000
0.0000 0.5000 0.0000
0.5000 0.0000 0.0000
0.0000 0.0000 0.0000
0.5000 0.5000 0.5000
```

Results
space group: Pm-3m, No. 221
E_form: 1237 meV per atom
energy above the most stable polymorph in this dataset: 0.000 eV/atom
ρ: 7.967 Mg/m³

=====

No. 2
This record from Alexandria via LeMat-Bulk describes crystalline CsMgTlAs at its relaxed geometry. The functional is PBE-GGA.

Cell and atoms, written as POSCAR:
```
CsMgTlAs
1.0
4.5233 0.0000 0.0000
0.0000 4.5233 0.0000
0.0000 0.0000 14.9164
Cs Mg Tl As
2 2 2 2
direct
0.2500 0.2500 0.2262
0.7500 0.7500 0.7738
0.2500 0.7500 0.0000
0.7500 0.2500 0.0000
0.2500 0.7500 0.5000
0.7500 0.2500 0.5000
0.2500 0.2500 0.8989
0.7500 0.7500 0.1011
```

Results
space group: P4/nmm, No. 129
E_form: -423 meV per atom
ρ: 4.750 Mg/m³